Below is Rb2NaHg3Sb4 after structural relaxation, with properties calculated at the PBE level.

Formation energy without anion corrections: -232 meV per atom
Final energy: -2.297 eV/atom
Theoretical density: 6.6 g cm⁻³

Unit cell a=5.091 b=5.091 c=12.421 alpha=90.00 beta=90.00 gamma=90.00
Atoms (fractional coordinates):
Rb1 0.000 0.500 0.248
Rb2 0.500 0.000 0.752
Na1 0.500 0.500 0.000
Hg1 0.000 0.000 0.000
Hg2 0.000 0.500 0.638
Hg3 0.500 0.000 0.362
Sb1 0.000 0.000 0.500
Sb2 0.000 0.500 0.865
Sb3 0.500 0.000 0.135
Sb4 0.500 0.500 0.500